[1]
Computed, not measured: a relaxed structure of KCoAg2 at the PBE level of DFT.

POSCAR file:
```
KCoAg2
1.0
6.946 0.000 0.000
0.000 6.946 0.000
0.000 0.000 6.946
K Co Ag
4 4 8
Cartesian
0.000 0.000 0.000
0.000 3.473 3.473
3.473 0.000 3.473
3.473 3.473 0.000
1.737 1.737 5.210
1.737 5.210 1.737
5.210 1.737 1.737
5.210 5.210 5.210
0.000 0.000 3.473
0.000 3.473 0.000
1.737 1.737 1.737
1.737 5.210 5.210
3.473 0.000 0.000
3.473 3.473 3.473
5.210 1.737 5.210
5.210 5.210 1.737
```

- Energy of formation: 3.32 eV/f.u.
- Crystal system: cubic
- Energy relative to the lowest polymorph listed for this composition: 35.0 kJ/mol of atoms
- Density: 6.2 Mg/m³

=====

[2]
Computed, not measured: a relaxed structure of KCoAg2 at the PBE level of DFT.

POSCAR file:
```
KCoAg2
1.0
5.352 0.000 0.000
0.000 5.352 0.000
0.000 0.000 2.822
K Co Ag
1 1 2
Cartesian
0.000 0.000 0.000
2.676 2.676 0.000
0.000 2.676 1.411
2.676 0.000 1.411
```

- Energy of formation: 2.71 eV/f.u.
- Crystal system: tetragonal
- Energy relative to the lowest polymorph listed for this composition: 20.3 kJ/mol of atoms
- Density: 6.4 Mg/m³